No. 1
The following is a DFT calculation (GGA-PBE) of a relaxed Pm5HgAu2 crystal.

a = 8.805 Å, b = 8.805 Å, c = 8.805 Å
α = 123.45°, β = 123.45°, γ = 84.12°
Atoms (fractional coordinates):
Pm: 0.000 0.000 0.000
Pm: 0.011 0.511 0.813
Pm: 0.198 0.011 0.500
Pm: 0.302 0.802 0.813
Pm: 0.489 0.302 0.500
Pm: 0.500 0.500 0.000
Pm: 0.511 0.698 0.500
Pm: 0.698 0.198 0.187
Pm: 0.802 0.989 0.500
Pm: 0.989 0.489 0.187
Hg: 0.250 0.250 0.000
Hg: 0.750 0.750 0.000
Au: 0.134 0.366 0.500
Au: 0.366 0.866 0.232
Au: 0.634 0.134 0.768
Au: 0.866 0.634 0.500

Computed properties:
**Calculated formation energy**: -4.12 eV per formula unit
**N(E_F)**: 10.110 states/eV/f.u.
**Uncorrected energy**: -69.45 eV for the cell shown

No. 2
The following is a DFT calculation (GGA-PBE) of a relaxed AlPS2Cl crystal.

a = 4.589 Å, b = 4.589 Å, c = 4.781 Å
α = 90.00°, β = 90.00°, γ = 90.00°
Atoms (fractional coordinates):
Al: 0.000 0.000 0.000
P: 0.500 0.500 0.000
S: 0.000 0.500 0.500
S: 0.500 0.000 0.500
Cl: 0.500 0.500 0.500

Computed properties:
**Formation energy (no corrections)**: 1.132 eV per atom
**N(E_F)**: 4.150 states/eV/f.u.
**Polymorph energy (0 for the lowest one)**: 0.938 eV/atom
**Uncorrected energy**: -13.59 eV for the cell shown

No. 3
The following is a DFT calculation (GGA-PBE) of a relaxed AcPr12Er5 crystal.

a = 11.020 Å, b = 11.020 Å, c = 5.198 Å
α = 90.00°, β = 90.00°, γ = 90.25°
Atoms (fractional coordinates):
Ac: 0.000 0.000 0.000
Pr: 0.003 0.664 0.000
Pr: 0.170 0.170 0.500
Pr: 0.171 0.503 0.500
Pr: 0.336 0.997 0.000
Pr: 0.337 0.337 0.000
Pr: 0.497 0.829 0.500
Pr: 0.503 0.171 0.500
Pr: 0.663 0.663 0.000
Pr: 0.664 0.003 0.000
Pr: 0.829 0.497 0.500
Pr: 0.830 0.830 0.500
Pr: 0.997 0.336 0.000
Er: 0.171 0.829 0.500
Er: 0.333 0.667 0.000
Er: 0.500 0.500 0.500
Er: 0.667 0.333 0.000
Er: 0.829 0.171 0.500

Computed properties:
**Calculated formation energy**: 0.51 eV per formula unit
**N(E_F)**: 29.022 states/eV/f.u.
**Uncorrected energy**: -83.76 eV for the cell shown

No. 4
The following is a DFT calculation (GGA-PBE) of a relaxed RbSrInBr6 crystal.

a = 7.628 Å, b = 7.628 Å, c = 14.732 Å
α = 90.00°, β = 90.00°, γ = 120.00°
Atoms (fractional coordinates):
Rb: 0.000 0.000 0.000
Rb: 0.000 0.000 0.500
Sr: 0.333 0.667 0.250
Sr: 0.667 0.333 0.750
In: 0.333 0.667 0.750
In: 0.667 0.333 0.250
Br: 0.034 0.387 0.641
Br: 0.034 0.647 0.859
Br: 0.353 0.387 0.859
Br: 0.353 0.966 0.641
Br: 0.387 0.034 0.141
Br: 0.387 0.353 0.359
Br: 0.613 0.647 0.641
Br: 0.613 0.966 0.859
Br: 0.647 0.034 0.359
Br: 0.647 0.613 0.141
Br: 0.966 0.353 0.141
Br: 0.966 0.613 0.359

Computed properties:
**Formation energy (no corrections)**: -1.468 eV per atom
**N(E_F)**: 0.000 states/eV/f.u.
**Uncorrected energy**: -57.28 eV for the cell shown

No. 5
The following is a DFT calculation (GGA-PBE) of a relaxed TmMgBi2 crystal.

a = 4.590 Å, b = 4.590 Å, c = 10.633 Å
α = 90.00°, β = 90.00°, γ = 90.00°
Atoms (fractional coordinates):
Tm: 0.250 0.250 0.221
Tm: 0.750 0.750 0.779
Mg: 0.250 0.750 0.500
Mg: 0.750 0.250 0.500
Bi: 0.250 0.250 0.692
Bi: 0.250 0.750 0.000
Bi: 0.750 0.250 0.000
Bi: 0.750 0.750 0.308

Computed properties:
**Calculated formation energy**: -1.60 eV per formula unit
**N(E_F)**: 1.393 states/eV/f.u.
**Polymorph energy (0 for the lowest one)**: 0.000 eV/atom
**Uncorrected energy**: -30.86 eV for the cell shown

No. 6
The following is a DFT calculation (GGA-PBE) of a relaxed NaLi2SnCl8 crystal.

a = 5.664 Å, b = 6.512 Å, c = 8.071 Å
α = 90.00°, β = 90.07°, γ = 94.10°
Atoms (fractional coordinates):
Na: 0.000 0.000 0.000
Li: 0.499 0.501 0.731
Li: 0.501 0.499 0.269
Sn: 0.000 0.000 0.500
Cl: 0.233 0.853 0.279
Cl: 0.234 0.854 0.721
Cl: 0.254 0.465 0.000
Cl: 0.260 0.331 0.500
Cl: 0.740 0.669 0.500
Cl: 0.746 0.535 0.000
Cl: 0.766 0.146 0.279
Cl: 0.767 0.147 0.721

Computed properties:
**Formation energy (no corrections)**: -1.203 eV per atom
**N(E_F)**: 1.415 states/eV/f.u.
**Uncorrected energy**: -38.36 eV for the cell shown